a:
A geometry-optimized LaYTa2 structure, computed with GGA-PBE.

```
LaYTa2
1.0
-2.739 -1.483 -0.875
2.314 -1.487 -4.725
3.313 -5.567 -0.936
La Ta Y
1 2 1
Direct
0.000 0.000 0.500
0.000 0.000 0.000
0.500 0.500 0.000
0.500 0.500 0.500
```



b:
A geometry-optimized LaYTa2 structure, computed with GGA-PBE.

```
LaYTa2
1.0
-0.346 4.158 4.264
-4.962 -2.962 -1.482
0.616 -2.092 2.098
La Ta Y
1 2 1
Direct
0.000 0.500 0.500
0.000 0.000 0.000
0.500 0.500 0.000
0.500 0.000 0.500
```



Least stable structure: a



a:
A geometry-optimized LaYTa2 structure, computed with GGA-PBE.

```
LaYTa2
1.0
3.133 -0.003 0.000
-1.149 2.915 0.000
0.000 0.000 10.792
La Ta Y
1 2 1
Direct
0.500 0.500 0.783
0.000 0.000 0.033
0.500 0.500 0.223
0.000 0.000 0.461
```



b:
A geometry-optimized LaYTa2 structure, computed with GGA-PBE.

```
LaYTa2
1.0
-1.246 4.361 1.535
0.032 -1.051 3.011
6.289 1.106 1.962
La Ta Y
1 2 1
Direct
0.500 0.749 0.787
0.000 0.064 0.031
0.500 0.190 0.225
0.000 0.497 0.457
```



c:
A geometry-optimized LaYTa2 structure, computed with GGA-PBE.

```
LaYTa2
1.0
-3.721 0.835 -4.058
-5.355 0.441 -1.461
-0.060 6.153 0.898
La Ta Y
1 2 1
Direct
0.250 0.250 0.250
0.009 0.009 0.939
0.491 0.491 0.561
0.750 0.750 0.750
```



d:
A geometry-optimized LaYTa2 structure, computed with GGA-PBE.

```
LaYTa2
1.0
8.232 0.000 0.000
0.000 8.232 0.000
4.116 4.116 2.962
Y La Ta
2 2 4
Direct
0.500 0.500 0.000
0.250 0.750 0.500
0.000 0.000 0.000
0.750 0.250 0.500
0.625 0.125 0.250
0.125 0.625 0.250
0.375 0.375 0.750
0.875 0.875 0.750
```



Least stable structure: d



a:
A geometry-optimized La2YTa structure, computed with GGA-PBE.

```
La2YTa
1.0
-0.882 11.533 1.231
-2.830 11.176 -1.547
-4.186 10.741 1.554
La Ta Y
2 1 1
Direct
0.999 0.999 0.999
0.241 0.241 0.241
0.499 0.499 0.499
0.761 0.761 0.761
```



b:
A geometry-optimized La2YTa structure, computed with GGA-PBE.

```
La2YTa
1.0
5.916 0.000 0.000
1.874 5.612 0.000
-3.895 -2.806 3.458
La Ta Y
2 1 1
Direct
0.000 0.000 0.000
0.250 0.750 0.500
0.500 0.500 0.000
0.750 0.250 0.500
```



c:
A geometry-optimized La2YTa structure, computed with GGA-PBE.

```
La2YTa
1.0
-1.247 -7.871 3.846
7.215 -3.126 -4.058
4.787 -4.569 2.382
Y La Ta
2 4 2
Direct
0.500 0.500 0.000
0.250 0.750 0.500
0.685 0.125 0.250
0.065 0.625 0.250
0.375 0.315 0.750
0.875 0.935 0.750
0.000 0.000 0.000
0.750 0.250 0.500
```



d:
A geometry-optimized La2YTa structure, computed with GGA-PBE.

```
La2YTa
1.0
3.948 0.000 0.000
0.000 3.948 0.000
0.000 0.000 7.684
La Ta Y
2 1 1
Direct
0.000 0.000 0.974
0.500 0.500 0.293
0.000 0.000 0.528
0.500 0.500 0.705
```



Least stable structure: c



a:
A geometry-optimized La2YTa structure, computed with GGA-PBE.

```
La2YTa
1.0
4.944 0.000 0.000
0.000 3.341 0.006
0.000 3.337 6.947
La Ta Y
2 1 1
Direct
0.000 0.003 0.997
0.500 0.228 0.273
0.000 0.487 0.512
0.500 0.782 0.717
```



b:
A geometry-optimized La2YTa structure, computed with GGA-PBE.

```
La2YTa
1.0
-0.860 2.839 5.179
-1.232 -6.530 -0.016
2.735 -1.307 1.267
La Ta Y
2 1 1
Direct
0.000 0.000 0.000
0.500 0.000 0.500
0.000 0.500 0.500
0.500 0.500 0.000
```



Least stable structure: b



a:
A geometry-optimized La2YTa structure, computed with GGA-PBE.

```
La2YTa
1.0
-4.779 -4.874 0.623
-2.544 -5.552 3.113
-4.077 1.081 3.953
La Ta Y
2 1 1
Direct
0.036 0.036 0.965
0.464 0.464 0.535
0.750 0.750 0.750
0.250 0.250 0.250
```



b:
A geometry-optimized La2YTa structure, computed with GGA-PBE.

```
La2YTa
1.0
-0.947 1.910 -2.564
-2.599 -1.717 1.189
-2.315 8.469 7.166
La Ta Y
2 1 1
Direct
0.000 0.000 0.040
0.000 0.000 0.460
0.500 0.500 0.250
0.500 0.500 0.750
```



c:
A geometry-optimized La2YTa structure, computed with GGA-PBE.

```
La2YTa
1.0
-2.224 -2.300 1.059
1.954 -2.455 -1.228
4.964 -0.605 9.112
La Ta Y
2 1 1
Direct
0.000 0.000 0.032
0.000 0.000 0.468
0.500 0.500 0.250
0.500 0.500 0.750
```



Least stable structure: b



a:
A geometry-optimized LaY2Ta structure, computed with GGA-PBE.

```
LaY2Ta
1.0
-2.785 -2.507 -2.685
3.663 -1.636 -2.271
1.112 -10.444 4.641
Y La Ta
4 2 2
Direct
0.644 0.125 0.250
0.106 0.625 0.250
0.375 0.356 0.750
0.875 0.894 0.750
0.500 0.500 0.000
0.250 0.750 0.500
0.000 0.000 0.000
0.750 0.250 0.500
```



b:
A geometry-optimized LaY2Ta structure, computed with GGA-PBE.

```
LaY2Ta
1.0
-5.819 0.334 0.138
-2.095 -5.094 -1.913
3.960 1.170 4.116
La Ta Y
1 1 2
Direct
0.500 0.500 0.000
0.250 0.750 0.500
0.000 0.000 0.000
0.750 0.250 0.500
```



Least stable structure: a